! SmDyAsO | OQMD | PBE | relaxed; values from VASP
! Calculated total energy ... -6.66 eV per atom
&SYSTEM
  ibrav = 0, nat = 8, ntyp = 4
/
ATOMIC_SPECIES
Dy 162.50 Dy.upf
As 74.92 As.upf
Sm 150.36 Sm.upf
O 16.00 O.upf
CELL_PARAMETERS angstrom
4.1775 0.0000 0.0000
0.0000 7.8589 0.0000
0.0000 0.0000 5.7851
ATOMIC_POSITIONS crystal
Dy 0.0000 0.2886 0.9395
Dy 0.0000 0.7114 0.4395
As 0.0000 0.3523 0.4339
As 0.0000 0.6477 0.9339
Sm 0.5000 0.8805 0.9910
Sm 0.5000 0.1195 0.4910
O 0.5000 0.8243 0.3896
O 0.5000 0.1757 0.8896

! YFe2BP | OQMD | PBE | relaxed; values from VASP
! Calculated total energy ... -7.76 eV per atom
&SYSTEM
  ibrav = 0, nat = 5, ntyp = 4
/
ATOMIC_SPECIES
Y 88.91 Y.upf
P 30.97 P.upf
Fe 55.84 Fe.upf
B 10.81 B.upf
CELL_PARAMETERS angstrom
4.7757 -1.5865 -1.9808
3.6718 -2.5109 3.0759
-5.2662 -0.2748 -1.1998
ATOMIC_POSITIONS crystal
Y 0.9968 0.9968 0.0000
P 0.6375 0.6375 0.0000
Fe 0.2577 0.7577 0.5000
Fe 0.7577 0.2577 0.5000
B 0.3503 0.3503 0.0000

! PaBeZn | OQMD | PBE | relaxed; values from VASP
! Calculated total energy ... -4.53 eV per atom
&SYSTEM
  ibrav = 0, nat = 3, ntyp = 3
/
ATOMIC_SPECIES
Pa 231.04 Pa.upf
Zn 65.41 Zn.upf
Be 9.01 Be.upf
CELL_PARAMETERS angstrom
2.5274 1.2036 3.2875
-1.7132 2.0063 3.4181
-0.2704 -2.0461 3.7926
ATOMIC_POSITIONS crystal
Pa 0.2500 0.2500 0.2500
Zn 0.7500 0.7500 0.7500
Be 0.0000 0.0000 0.0000

! UNbCo | OQMD | PBE | relaxed; values from VASP
! Formation energy ... 464 meV/atom
&SYSTEM
  ibrav = 0, nat = 3, ntyp = 3
/
ATOMIC_SPECIES
U 238.03 U.upf
Nb 92.91 Nb.upf
Co 58.93 Co.upf
CELL_PARAMETERS angstrom
0.0000 3.0483 3.0483
3.0483 0.0000 3.0483
3.0483 3.0483 0.0000
ATOMIC_POSITIONS crystal
U 0.7500 0.7500 0.7500
Nb 0.2500 0.2500 0.2500
Co 0.0000 0.0000 0.0000

! Dy2Ge | OQMD | PBE | relaxed; values from VASP
! Calculated total energy ... -4.31 eV per atom
&SYSTEM
  ibrav = 0, nat = 6, ntyp = 2
/
ATOMIC_SPECIES
Dy 162.50 Dy.upf
Ge 72.64 Ge.upf
CELL_PARAMETERS angstrom
0.0000 4.3105 4.3105
4.3105 0.0000 4.3105
4.3105 4.3105 0.0000
ATOMIC_POSITIONS crystal
Dy 0.1250 0.6250 0.6250
Dy 0.6250 0.1250 0.6250
Dy 0.6250 0.6250 0.6250
Dy 0.6250 0.6250 0.1250
Ge 0.0000 0.0000 0.0000
Ge 0.2500 0.2500 0.2500

! DyLu2Cu4Ge4 | OQMD | PBE | relaxed; values from VASP
! Calculated total energy ... -4.89 eV per atom
&SYSTEM
  ibrav = 0, nat = 11, ntyp = 4
/
ATOMIC_SPECIES
Cu 63.55 Cu.upf
Ge 72.64 Ge.upf
Lu 174.97 Lu.upf
Dy 162.50 Dy.upf
CELL_PARAMETERS angstrom
-2.0701 3.3319 6.8988
2.0701 -3.3319 6.8988
2.0701 3.3319 -6.8988
ATOMIC_POSITIONS crystal
Cu 0.0218 0.3305 0.6912
Cu 0.9782 0.6695 0.3088
Cu 0.3607 0.6695 0.6912
Cu 0.6393 0.3305 0.3088
Ge 0.3097 0.5000 0.8097
Ge 0.7821 0.7821 0.0000
Ge 0.6903 0.5000 0.1903
Ge 0.2179 0.2179 0.0000
Lu 0.6294 0.1294 0.5000
Lu 0.3706 0.8706 0.5000
Dy 0.0000 0.0000 0.0000

! SrOsPb | OQMD | PBE | relaxed; values from VASP
! Calculated total energy ... -4.05 eV per atom
&SYSTEM
  ibrav = 0, nat = 3, ntyp = 3
/
ATOMIC_SPECIES
Pb 207.20 Pb.upf
Os 190.23 Os.upf
Sr 87.62 Sr.upf
CELL_PARAMETERS angstrom
0.0000 3.5335 3.5335
3.5335 0.0000 3.5335
3.5335 3.5335 0.0000
ATOMIC_POSITIONS crystal
Pb 0.7500 0.7500 0.7500
Os 0.2500 0.2500 0.2500
Sr 0.0000 0.0000 0.0000

! TbPr2Al7Cu2 | OQMD | PBE | relaxed; values from VASP
! Calculated total energy ... -4.45 eV per atom
&SYSTEM
  ibrav = 0, nat = 12, ntyp = 4
/
ATOMIC_SPECIES
Al 26.98 Al.upf
Pr 140.91 Pr.upf
Tb 158.93 Tb.upf
Cu 63.55 Cu.upf
CELL_PARAMETERS angstrom
2.7860 1.6085 8.6044
-2.7860 1.6085 8.6044
0.0000 -3.2170 8.6044
ATOMIC_POSITIONS crystal
Al 0.5000 0.5000 0.5000
Al 0.4206 0.4206 0.9289
Al 0.0711 0.5794 0.5794
Al 0.5794 0.0711 0.5794
Al 0.9289 0.4206 0.4206
Al 0.5794 0.5794 0.0711
Al 0.4206 0.9289 0.4206
Pr 0.1415 0.1415 0.1415
Pr 0.8585 0.8585 0.8585
Tb 0.0000 0.0000 0.0000
Cu 0.6647 0.6647 0.6647
Cu 0.3353 0.3353 0.3353

The records above yield total magnetic moment values of 0.1; 0.0; 0.6; 2.3; 0.0; 0.0; 0.0; 0.0 μB per cell, respectively.